(1)
Here is an optimized crystal structure of MoAsHSe2 from the Alexandria database. Energies are from PBE.

abc: 4.7231 4.7231 3.3991
angles: 90.00 90.00 90.00
Sites, in units of the cell vectors:
Mo  0.0000  0.0000  0.0000
As  0.5000  0.5000  0.0000
H  0.5000  0.5000  0.5000
Se  0.0000  0.5000  0.5000
Se  0.5000  0.0000  0.5000

## Properties
Space group: P4/mmm
Energy in eV/cell: -22.5

(2)
Here is an optimized crystal structure of BaCrSi2 from the Alexandria database. Energies are from PBE.

abc: 8.0022 3.8285 6.3405
angles: 90.00 107.76 90.00
Sites, in units of the cell vectors:
Ba  0.0000  0.0000  0.0000
Ba  0.5000  0.5000  0.0000
Cr  0.0000  0.5000  0.5000
Cr  0.5000  0.0000  0.5000
Si  0.2213  0.0000  0.6093
Si  0.2787  0.5000  0.3907
Si  0.7213  0.5000  0.6093
Si  0.7787  0.0000  0.3907

## Properties
Space group: C2/m
ΔE_f (raw) in eV/atom: -0.134
Polymorph energy (0 for the lowest one) in eV/f.u.: 0.00

(3)
Here is an optimized crystal structure of Ca2Zn3InAu12 from the Alexandria database. Energies are from PBE.

abc: 8.2262 8.2262 8.2262
angles: 62.76 62.76 62.76
Sites, in units of the cell vectors:
Ca  0.1059  0.1059  0.1059
Ca  0.8941  0.8941  0.8941
Zn  0.0000  0.5000  0.5000
Zn  0.5000  0.0000  0.5000
Zn  0.5000  0.5000  0.0000
In  0.5000  0.5000  0.5000
Au  0.1057  0.6416  0.6416
Au  0.1343  0.1343  0.6153
Au  0.1343  0.6153  0.1343
Au  0.3584  0.3584  0.8943
Au  0.3584  0.8943  0.3584
Au  0.3847  0.8657  0.8657
Au  0.6153  0.1343  0.1343
Au  0.6416  0.1057  0.6416
Au  0.6416  0.6416  0.1057
Au  0.8657  0.3847  0.8657
Au  0.8657  0.8657  0.3847
Au  0.8943  0.3584  0.3584

## Properties
Space group: R-3m
Energy relative to the elements in eV per atom: -0.102